# 1
Pm3Y2S4 after structural relaxation, computed with PBE-GGA.

Results
total magnetic moment = 0.951 μB per cell
formation energy from raw total energies = -1.763 eV per atom
space-group type = P-3m1, No. 164

abc: 3.9306 3.9306 16.3077
angles: 90.00 90.00 120.00
Positions (direct):
Pm (0.0000, 0.0000, 0.0000)
Pm (0.3333, 0.6667, 0.5931)
Pm (0.6667, 0.3333, 0.4069)
Y (0.3333, 0.6667, 0.2036)
Y (0.6667, 0.3333, 0.7964)
S (0.0000, 0.0000, 0.3001)
S (0.0000, 0.0000, 0.6999)
S (0.3333, 0.6667, 0.8938)
S (0.6667, 0.3333, 0.1062)

---

# 2
SrTa2Au2 after structural relaxation, computed with PBE-GGA.

Results
total magnetic moment = 0.000 μB per cell
ΔE_f = 0.2 eV/f.u.
offset from the most stable computed form = 0.0 kJ/mol of atoms
space-group type = I4/mmm, No. 139

abc: 7.5554 7.5554 7.5554
angles: 149.20 149.20 44.11
Positions (direct):
Sr (0.0000, 0.0000, 0.0000)
Ta (0.2500, 0.7500, 0.5000)
Ta (0.7500, 0.2500, 0.5000)
Au (0.3966, 0.3966, 0.0000)
Au (0.6034, 0.6034, 0.0000)

---

# 3
SrErRe2O8 after structural relaxation, computed with PBE-GGA.

Results
total magnetic moment = 3.005 μB per cell
formation energy from raw total energies = -2.078 eV per atom
space-group type = P-3m1, No. 164

abc: 5.9266 5.9266 7.1148
angles: 90.00 90.00 120.00
Positions (direct):
Sr (0.0000, 0.0000, 0.0000)
Er (0.0000, 0.0000, 0.5000)
Re (0.3333, 0.6667, 0.7865)
Re (0.6667, 0.3333, 0.2135)
O (0.1623, 0.3245, 0.7080)
O (0.1623, 0.8377, 0.7080)
O (0.3245, 0.1623, 0.2920)
O (0.3333, 0.6667, 0.0379)
O (0.6667, 0.3333, 0.9621)
O (0.6755, 0.8377, 0.7080)
O (0.8377, 0.1623, 0.2920)
O (0.8377, 0.6755, 0.2920)

---

# 4
Fe2CuBr after structural relaxation, computed with PBE-GGA.

Results
total magnetic moment = 5.412 μB per cell
formation energy from raw total energies = 0.793 eV per atom
offset from the most stable computed form = 43.4 kJ/mol of atoms
space-group type = F-43m, No. 216

abc: 4.3603 4.3603 4.3603
angles: 60.00 60.00 60.00
Positions (direct):
Fe (0.0000, 0.0000, 0.0000)
Fe (0.2500, 0.2500, 0.2500)
Cu (0.7500, 0.7500, 0.7500)
Br (0.5000, 0.5000, 0.5000)

---

# 5
Pa2PbAu after structural relaxation, computed with PBE-GGA.

Results
total magnetic moment = 1.729 μB per cell
ΔE_f = 1.3 eV/f.u.
offset from the most stable computed form = 39.0 kJ/mol of atoms
space-group type = R-3m, No. 166

abc: 11.9654 11.9654 11.9654
angles: 15.23 15.23 15.23
Positions (direct):
Pa (0.0850, 0.0850, 0.0850)
Pa (0.9150, 0.9150, 0.9150)
Pb (0.5000, 0.5000, 0.5000)
Au (0.0000, 0.0000, 0.0000)

---

# 6
Li2AgBr2Cl after structural relaxation, computed with PBE-GGA.

Results
total magnetic moment = 0.000 μB per cell
formation energy from raw total energies = -1.209 eV per atom
space-group type = Cmc2_1, No. 36

abc: 7.2521 7.2521 6.8293
angles: 90.00 90.00 60.25
Positions (direct):
Li (0.0140, 0.6646, 0.5000)
Li (0.3354, 0.9860, 0.5000)
Li (0.6646, 0.0140, 0.0000)
Li (0.9860, 0.3354, 0.0000)
Ag (0.3284, 0.6716, 0.0149)
Ag (0.6716, 0.3284, 0.5149)
Br (0.0199, 0.3301, 0.3731)
Br (0.3301, 0.0199, 0.8731)
Br (0.6699, 0.9801, 0.3731)
Br (0.9801, 0.6699, 0.8731)
Cl (0.3226, 0.6774, 0.4025)
Cl (0.6774, 0.3226, 0.9025)

---

Q: Which of these has the highest total magnetic moment?
A: Fe2CuBr